A plane-wave DFT calculation with SCAN was carried out for CaMgPb at its PBEsol-relaxed geometry.

Lattice parameters (Å, degrees): 3.6441 3.6441 7.7030 90.00 90.00 120.00
Space group P3m1 (No. 156)
Unique sites:
Ca 0.0000 0.0000 0.0000 x1
Mg 0.3333 0.6667 0.6422 x1
Pb 0.6667 0.3333 0.3383 x1

## Properties
The formation energy is -178 meV per atom.

=====

A plane-wave DFT calculation with SCAN was carried out for KTlReC2 at its PBEsol-relaxed geometry.

Lattice parameters (Å, degrees): 4.131 4.131 5.286 90.00 90.00 90.00
Space group P4/mmm (No. 123)
Unique sites:
K 0.000 0.000 0.000 x1
Tl 0.500 0.500 0.000 x1
Re 0.500 0.500 0.500 x1
C 0.000 0.500 0.500 x2

## Properties
The formation energy is 1131 meV per atom.

=====

A plane-wave DFT calculation with SCAN was carried out for MoPdS2 at its PBEsol-relaxed geometry.

Lattice parameters (Å, degrees): 5.478 5.478 10.014 90.00 90.00 90.00
Space group I-42d (No. 122)
Unique sites:
Mo 0.000 0.000 0.000 x4
Pd 0.000 0.000 0.500 x4
S 0.237 0.250 0.125 x8

## Properties
Its raw formation energy is -110 kJ/mol of formula units.

=====

A plane-wave DFT calculation with SCAN was carried out for IrRu5 at its PBEsol-relaxed geometry.

Lattice parameters (Å, degrees): 4.6658 4.6658 4.2642 90.00 90.00 120.00
Space group P-62m (No. 189)
Unique sites:
Ir 0.0000 0.0000 0.0000 x1
Ru 0.0000 0.6645 0.5000 x3
Ru 0.3333 0.6667 0.0000 x2

## Properties
Its distance to the lowest polymorph of the same formula is 0 meV per atom. The formation energy is -52 meV per atom.

=====

A plane-wave DFT calculation with SCAN was carried out for Ba2AlCo at its PBEsol-relaxed geometry.

Lattice parameters (Å, degrees): 5.500 5.500 3.957 90.00 90.00 90.00
Space group P4/mmm (No. 123)
Unique sites:
Ba 0.000 0.500 0.000 x2
Al 0.000 0.000 0.500 x1
Co 0.500 0.500 0.500 x1

## Properties
The formation energy is 307 meV per atom.

=====

A plane-wave DFT calculation with SCAN was carried out for Sr2Nb5O9 at its PBEsol-relaxed geometry.

Lattice parameters (Å, degrees): 4.157 4.157 12.052 90.00 90.00 90.00
Space group P4/mmm (No. 123)
Unique sites:
Sr 0.000 0.000 0.170 x2
Nb 0.000 0.500 0.500 x2
Nb 0.500 0.500 0.000 x1
Nb 0.500 0.500 0.335 x2
O 0.000 0.000 0.500 x1
O 0.000 0.500 0.000 x2
O 0.000 0.500 0.323 x4
O 0.500 0.500 0.163 x2

## Properties
Its raw formation energy is -4177 kJ/mol of formula units.

=====

Number 1: electronic total energy -91.0 eV per cell. Number 2: electronic total energy -166.3 eV per cell. Number 3: electronic total energy -352.2 eV per cell. Number 4: electronic total energy -245.5 eV per cell. Number 5: electronic total energy -102.9 eV per cell. Number 6: electronic total energy -309.6 eV per cell.